Density functional theory data (GGA-PBE) for crystalline Cd2InGa2 at its relaxed geometry.

Lattice parameters (Å, degrees): 4.3551 4.3551 12.3335 90.00 90.00 90.00
With the nearest neighbours (Å) after each atom.
Space group I4/mmm (No. 139)
Asymmetric unit:
Cd1 0.0000 0.5000 0.2500 x4  4 Ga 2.84, 4 Cd 3.08
In1 0.0000 0.0000 0.0000 x2  8 Ga 3.33
Ga1 0.0000 0.0000 0.3983 x4  1 Ga 2.51

Calculated values
Total magnetization in μB per formula unit: 0.0
Distance to the lowest polymorph of the same formula in eV per formula unit: 0.01
DFT formation energy in kcal/mol of atoms: 1.565
Energy in eV/atom: -2.057